Material: Ni2HgPAu
Method: DFT, PBE
State: relaxed

```
Ni2HgPAu
1.0
-1.418 3.059 -2.524
2.223 -2.180 -3.892
-3.493 -2.233 -0.744
P Au Ni Hg
1 1 2 1
Cartesian
0.000 0.000 0.000
-1.344 -0.677 -3.580
-1.747 -1.117 -0.372
-0.709 1.530 -1.262
1.112 -1.090 -1.946
```

ρ (g/cm³): 10.25
Energy of formation (eV per atom): 0.310

Material: ScCuNi
Method: DFT, PBE
State: relaxed

```
ScCuNi
1.0
4.780 0.012 -0.075
2.578 4.025 0.075
-3.650 -2.071 2.290
Ni Sc Cu
1 1 1
Cartesian
2.486 1.364 0.000
4.944 2.712 0.000
7.287 3.998 0.000
```

ρ (g/cm³): 6.31
Energy of formation (eV per atom): -0.303

Material: K4AcPm3O8
Method: DFT, PBE
State: relaxed

```
K4AcPm3O8
1.0
7.348 0.000 0.000
0.000 7.607 0.178
-3.674 -3.670 5.198
K Ac O Pm
4 1 8 3
Cartesian
1.837 -1.835 2.599
-1.837 -1.835 2.599
0.000 0.000 0.000
3.674 0.000 0.000
0.000 3.804 0.089
5.449 2.184 0.287
1.899 2.184 0.287
1.775 1.753 5.089
-1.775 1.753 5.089
0.000 0.379 2.864
3.674 0.411 2.799
0.000 3.527 2.577
3.674 3.558 2.512
3.674 3.804 0.089
1.837 1.969 2.688
-1.837 1.969 2.688
```

ΔE_f (raw) (eV/atom): -2.615
ρ (g/cm³): 5.32

Material: P2Br
Method: DFT, PBE
State: relaxed

```
P2Br
1.0
3.742 -2.539 4.477
-3.126 2.674 4.855
-1.643 -4.168 -4.518
P Br
4 2
Cartesian
0.525 -1.677 -0.009
-1.688 -2.386 2.763
0.661 -1.647 2.050
-1.552 -2.356 4.822
0.877 -1.599 5.332
-1.904 -2.434 -0.519
```

ΔE_f (raw) (eV/atom): 0.325
ρ (g/cm³): 2.86

Material: LuInCo4
Method: DFT, PBE
State: relaxed

```
LuInCo4
1.0
4.951 0.000 0.000
2.475 4.287 0.000
2.475 1.429 4.042
Co In Lu
4 1 1
Cartesian
4.951 1.426 2.527
6.191 3.574 2.527
4.951 2.858 0.502
3.711 3.574 2.527
0.000 0.000 0.000
2.475 1.429 1.011
```

ρ (g/cm³): 10.17
Energy of formation (eV per atom): -0.179

Material: La3Pr2Ge3
Method: DFT, PBE
State: relaxed

```
La3Pr2Ge3
1.0
-5.488 -3.506 -2.186
5.056 -4.015 -6.254
-0.870 -3.713 8.140
Pr Ge La
4 6 6
Cartesian
1.105 -3.814 3.342
0.336 -5.667 -2.549
3.080 -3.915 -1.456
-1.639 -5.567 2.249
1.167 -5.565 0.597
0.617 -2.456 -3.007
-1.049 -5.065 -5.434
-2.470 -5.669 -0.898
-1.714 -2.337 2.655
-4.644 -4.882 3.298
-4.332 -3.551 0.380
-2.026 -3.668 5.573
-0.970 -8.440 -0.222
2.429 -3.895 -5.249
-0.333 -2.794 -0.079
-2.862 -3.626 -3.192
```

ρ (g/cm³): 6.33
Energy of formation (eV per atom): -0.691